(1)
{"formula": "LiNi2Rh", "functional": "meta-GGA SCAN", "state": "single point on PBEsol structure", "lattice": [[2.524, 0.000, 0.000], [0.000, 4.386, 0.018], [0.000, -1.590, 4.087]], "species": ["Ni", "Ni", "Rh", "Li"], "fractional_positions": [[0.000, 0.000, 0.500], [0.000, 0.500, 0.000], [0.500, 0.500, 0.500], [0.500, 0.000, 0.000]], "sg": "No. 65"}

=====

(2)
{"formula": "Li17Ag3Sn6", "functional": "meta-GGA SCAN", "state": "single point on PBEsol structure", "lattice": [[-0.787, 7.216, -3.144], [0.271, -6.355, -4.702], [-8.419, -0.711, 0.475]], "species": ["Li", "Li", "Li", "Li", "Li", "Li", "Li", "Li", "Li", "Li", "Li", "Li", "Li", "Li", "Li", "Li", "Li", "Ag", "Ag", "Ag", "Sn", "Sn", "Sn", "Sn", "Sn", "Sn"], "fractional_positions": [[0.000, 0.299, 0.668], [0.701, 0.701, 0.668], [0.354, 0.354, 0.166], [0.000, 0.658, 0.844], [0.658, 0.000, 0.844], [0.299, 0.000, 0.668], [0.667, 0.333, 0.335], [0.000, 0.312, 0.347], [0.667, 0.333, 0.668], [0.688, 0.688, 0.347], [0.000, 0.646, 0.166], [0.333, 0.667, 0.668], [0.646, 0.000, 0.166], [0.342, 0.342, 0.844], [0.312, 0.000, 0.347], [0.333, 0.667, 0.335], [0.000, 0.000, 0.156], [0.000, 0.000, 0.496], [0.667, 0.333, 0.002], [0.333, 0.667, 0.002], [0.000, 0.647, 0.503], [0.353, 0.353, 0.503], [0.687, 0.687, 0.006], [0.647, 0.000, 0.503], [0.000, 0.313, 0.006], [0.313, 0.000, 0.006]], "sg": "No. 157"}

=====

(3)
{"formula": "Ta2PtCl", "functional": "meta-GGA SCAN", "state": "single point on PBEsol structure", "lattice": [[-0.647, -1.513, 2.314], [1.104, -1.597, -2.072], [8.153, 1.451, 3.227]], "species": ["Cl", "Pt", "Ta", "Ta"], "fractional_positions": [[0.500, 0.500, 0.500], [0.500, 0.500, 0.000], [0.000, 0.000, 0.250], [0.000, 0.000, 0.750]], "sg": "No. 65", "formation_energy_uncorrected_ev_per_atom": 0.0252}

=====

(4)
{"formula": "Ba2Sn2Pd", "functional": "meta-GGA SCAN", "state": "single point on PBEsol structure", "lattice": [[4.128, 0.000, 0.000], [0.000, 4.128, 0.000], [-2.064, -2.064, 9.632]], "species": ["Ba", "Ba", "Pd", "Sn", "Sn"], "fractional_positions": [[0.407, 0.407, 0.813], [0.593, 0.593, 0.187], [0.000, 0.000, 0.000], [0.250, 0.750, 0.500], [0.750, 0.250, 0.500]], "sg": "No. 139"}

=====

Result set for VASP energy: -68.748, -360.494, -211.237, -185.655 eV for the cell shown, one per record in the order listed.